A plane-wave DFT calculation with PBE-GGA was carried out for crystalline Be2AlIn at its relaxed geometry.

Its space group is I-42d (122). Its calculated volume is 134.6 Å³ per cell. Its energy relative to the lowest polymorph listed for this composition is 0.469 eV per atom.

abc: 5.663 5.663 5.663
angles: 103.54 103.54 122.12
Fractional positions:
Be (0.105, 0.625, 0.980)
Be (0.375, 0.355, 0.480)
Be (0.645, 0.125, 0.020)
Be (0.875, 0.895, 0.520)
Al (0.000, 0.000, 0.000)
Al (0.750, 0.250, 0.500)
In (0.250, 0.750, 0.500)
In (0.500, 0.500, 0.000)